Entry 1:
! La2PmPt, optimized geometry, DFT PBE; values from VASP
&SYSTEM
  ibrav = 0, nat = 4, ntyp = 3
/
ATOMIC_SPECIES
La 138.91 La.upf
Pt 195.08 Pt.upf
Pm 145.00 Pm.upf
ATOMIC_POSITIONS crystal
La 0.0000 0.0000 0.1983
Pt 0.5000 0.5000 0.0000
La 0.0000 0.0000 0.8017
Pm 0.5000 0.5000 0.5000
CELL_PARAMETERS angstrom
3.7590 0.0000 0.0000
0.0000 3.7590 0.0000
0.0000 0.0000 8.5791
! offset from the most stable computed form: 134 meV/atom
! DOS(E_F): 6.57 states/eV/cell

---

Entry 2:
! LaPmPt, optimized geometry, DFT PBE; values from VASP
&SYSTEM
  ibrav = 0, nat = 3, ntyp = 3
/
ATOMIC_SPECIES
Pt 195.08 Pt.upf
Pm 145.00 Pm.upf
La 138.91 La.upf
ATOMIC_POSITIONS crystal
Pt 0.6617 0.6617 0.3235
Pm 0.0392 0.0392 0.0784
La 0.2991 0.2991 0.5981
CELL_PARAMETERS angstrom
-2.0055 -0.2256 3.0469
2.0447 -2.8072 1.1381
4.0547 5.6968 0.8988
! offset from the most stable computed form: 128 meV/atom
! DOS(E_F): 4.25 states/eV/cell

---

Entry 3:
! LaPmPt, optimized geometry, DFT PBE; values from VASP
&SYSTEM
  ibrav = 0, nat = 9, ntyp = 3
/
ATOMIC_SPECIES
La 138.91 La.upf
Pt 195.08 Pt.upf
Pm 145.00 Pm.upf
ATOMIC_POSITIONS crystal
La 0.3490 0.9376 0.6980
Pt 0.8143 0.1448 0.6286
Pt 0.5000 0.6545 0.0000
Pm 0.0000 0.3980 0.0000
Pt 0.1857 0.5161 0.3714
Pm 0.3267 0.4071 0.6533
Pm 0.6733 0.7537 0.3467
La 0.6510 0.2396 0.3020
La 0.0000 0.8864 0.0000
CELL_PARAMETERS angstrom
-1.1056 -1.2113 4.2329
7.0390 1.3297 2.2191
-4.9630 7.6819 -1.5321
! offset from the most stable computed form: 55 meV/atom
! DOS(E_F): 9.99 states/eV/cell

---

Entry 4:
! La5Pm2Pt5, optimized geometry, DFT PBE; values from VASP
&SYSTEM
  ibrav = 0, nat = 12, ntyp = 3
/
ATOMIC_SPECIES
Pt 195.08 Pt.upf
La 138.91 La.upf
Pm 145.00 Pm.upf
ATOMIC_POSITIONS crystal
Pt 0.6951 0.4251 0.1846
Pt 0.3049 0.5749 0.8154
Pt 0.0000 0.0000 0.0000
La 0.5000 0.5000 0.5000
La 0.2588 0.1258 0.3566
La 0.3459 0.2583 0.0499
Pt 0.8838 0.8106 0.4218
Pm 0.9586 0.2986 0.7842
Pt 0.1162 0.1894 0.5782
Pm 0.0414 0.7014 0.2158
La 0.7412 0.8742 0.6434
La 0.6541 0.7417 0.9501
CELL_PARAMETERS angstrom
-0.7524 -4.0405 -0.2380
3.3375 -2.3637 -6.0283
11.7835 -4.4714 3.0509
! calculated total energy: -6.368 eV/atom
! DOS(E_F): 7.52 states/eV/cell

---

Entry 5:
! La3Pm2Pt4, optimized geometry, DFT PBE; values from VASP
&SYSTEM
  ibrav = 0, nat = 9, ntyp = 3
/
ATOMIC_SPECIES
Pt 195.08 Pt.upf
Pm 145.00 Pm.upf
La 138.91 La.upf
ATOMIC_POSITIONS crystal
Pt 0.0000 0.0000 0.3040
Pt 0.3333 0.6667 0.8969
Pm 0.6667 0.3333 0.8007
Pt 0.6667 0.3333 0.1031
Pt 0.0000 0.0000 0.6960
La 0.6667 0.3333 0.3931
Pm 0.3333 0.6667 0.1993
La 0.3333 0.6667 0.6069
La 0.0000 0.0000 0.0000
CELL_PARAMETERS angstrom
2.1197 -3.6714 0.0000
2.1197 3.6714 0.0000
0.0000 0.0000 16.9630
! calculated total energy: -6.387 eV/atom
! DOS(E_F): 5.55 states/eV/cell

---

Entry 6:
! LaPm4Pt4, optimized geometry, DFT PBE; values from VASP
&SYSTEM
  ibrav = 0, nat = 18, ntyp = 3
/
ATOMIC_SPECIES
Pm 145.00 Pm.upf
Pt 195.08 Pt.upf
La 138.91 La.upf
ATOMIC_POSITIONS crystal
Pm 0.9997 0.1843 0.6019
Pt 0.5003 0.3947 0.2044
La 0.0000 0.0000 0.0000
Pt 0.0003 0.7044 0.1053
Pt 0.9997 0.8947 0.7044
Pt 0.5003 0.6053 0.7956
Pt 0.4997 0.7956 0.3947
Pm 0.0003 0.6019 0.8157
Pt 0.4997 0.2044 0.6053
Pm 0.5003 0.3157 0.8981
Pm 0.4997 0.1019 0.3157
Pm 0.5003 0.6843 0.1019
Pt 0.0003 0.2956 0.8947
Pm 0.9997 0.8157 0.3981
Pt 0.9997 0.1053 0.2956
La 0.5000 0.5000 0.5000
Pm 0.4997 0.8981 0.6843
Pm 0.0003 0.3981 0.1843
CELL_PARAMETERS angstrom
-5.6672 -0.9146 -1.2467
-0.9938 -4.7725 8.0188
-2.2613 7.9469 4.4495
! calculated total energy: -6.344 eV/atom
! DOS(E_F): 10.43 states/eV/cell